Entry from Alexandria: an optimized crystal structure of NaMg (PBE).

Lattice parameters (Å, degrees): 3.328 3.328 11.655 90.00 90.00 120.00
Sites, in units of the cell vectors:
Na: 0.333 0.667 0.362
Na: 0.667 0.333 0.638
Mg: 0.333 0.667 0.889
Mg: 0.667 0.333 0.111

Summary:
total DFT energy (no corrections) = -5.53 eV per cell
total moment = 0.0 Bohr magnetons per cell
formation energy from the elements = 74 meV per atom